Record 1
Zr3MnCu | PBE | optimized geometry

Unit cell a=4.7850 b=4.7850 c=4.7850 alpha=90.00 beta=90.00 gamma=90.00
Closest atoms and distances in Å follow each position.
Atoms (fractional coordinates):
Cu: 0.5000 0.5000 0.5000  12 Zr 3.38
Mn: 0.0000 0.0000 0.0000  6 Zr 2.39
Zr: 0.5000 0.0000 0.0000  2 Mn 2.39
Zr: 0.0000 0.5000 0.0000  2 Mn 2.39
Zr: 0.0000 0.0000 0.5000  2 Mn 2.39

Results
Distance to the lowest polymorph of the same formula, meV per atom: 0
Crystal system: cubic
SG: No. 221
D(E_F), states/eV per atom: 1.450
Raw total energy, eV per cell: -36.34
Formation energy from the elements, eV per atom: 0.51
Calculated density, g cm⁻³: 5.944

Record 2
Na4Ac3InO8 | PBE | optimized geometry

Unit cell a=7.3659 b=7.1150 c=7.3643 alpha=121.20 beta=120.01 gamma=90.00
Closest atoms and distances in Å follow each position.
Atoms (fractional coordinates):
Na: 0.0000 0.0000 0.5000  6 O 2.60-2.66
Na: 0.5000 0.0000 0.0000  6 O 2.76-2.77
Na: 0.5000 0.0000 0.5000  6 O 2.60-2.66
Na: 0.0000 0.0000 0.0000  6 O 2.60-2.65
O: 0.7626 0.7209 0.9919  1 In 2.35, 2 Ac 2.54, 2 Na 2.60
O: 0.7707 0.2791 0.0081  1 In 2.35, 2 Ac 2.54, 2 Na 2.60
O: 0.2293 0.7209 0.9919  1 In 2.35, 2 Ac 2.54, 2 Na 2.60
O: 0.2374 0.2791 0.0081  1 In 2.35, 2 Ac 2.54, 2 Na 2.60
O: 0.7696 0.2781 0.5392  1 In 2.36, 2 Ac 2.53, 2 Na 2.60
O: 0.2597 0.2793 0.5194  3 Ac 2.47, 3 Na 2.65-2.66
O: 0.7403 0.7207 0.4806  3 Ac 2.47, 3 Na 2.65-2.66
O: 0.2304 0.7219 0.4608  1 In 2.36, 2 Ac 2.53, 2 Na 2.60
Ac: 0.5000 0.5000 0.0000  6 O 2.47-2.54
Ac: 0.5000 0.5000 0.5000  6 O 2.47-2.54
Ac: 0.0000 0.5000 0.5000  6 O 2.47-2.54
In: 0.0000 0.5000 0.0000  6 O 2.35-2.36

Results
Crystal system: monoclinic
SG: No. 12
Raw total energy, eV per cell: -95.63
Formation energy from raw total energies, eV per atom: -2.2268
Calculated density, g cm⁻³: 6.298